Na2YTl2 | Alexandria | PBE | relaxed; formation energy = -22 meV per atom; E above lowest polymorph = 47 meV per atom; volume = 29.23 Å³ per atom; energy = -13.9 eV/f.u.
1.0
-3.6005 -7.5121 -3.0280
5.1772 -4.6829 5.4617
-2.6147 0.1889 2.6405
Y Na Tl
2 4 4
direct
0.5000 0.5000 0.0000
0.0000 0.0000 0.0000
0.1390 0.6390 0.5000
0.6390 0.8610 0.5000
0.8610 0.3610 0.5000
0.3610 0.1390 0.5000
0.8390 0.6610 0.0000
0.6610 0.1610 0.0000
0.1610 0.3390 0.0000
0.3390 0.8390 0.0000